Below is a relaxed structure of YTm2AlAu4, with properties calculated at the PBE level.

a b c (Å): 4.897 4.897 8.690
angles (deg): 73.63 73.63 60.00
Fractional coordinates of all 8 atoms:
Y  0.000  0.000  0.000
Tm  0.757  0.757  0.729
Tm  0.243  0.243  0.271
Al  0.500  0.500  0.500
Au  0.386  0.386  0.843
Au  0.878  0.878  0.367
Au  0.122  0.122  0.633
Au  0.614  0.614  0.157

Values from the calculation:
- V (Å³/f.u.) = 170.7
- space-group type = R-3m (166)
- total magnetic moment (Bohr magnetons per cell) = 0.0
- ΔH_f (0 K) (eV per atom) = -0.78